(1)
# HoSiNi

A relaxed HoSiNi crystal (GGA-PBE, Alexandria).

Values from the calculation:
The calculation puts the energy relative to the elements, uncorrected at -0.828 eV per atom. Its space group is No. 62.

Lattice parameters (Å, degrees): 6.8420 4.1548 7.1335 90.00 90.00 90.00
Last column: nearest neighbours and their distance in Å.
Fractional coordinates of all 12 atoms:
1 Ho 0.0096 0.2500 0.2012  6 Ni 2.86-3.14, 6 Si 2.91-3.03
2 Ho 0.4904 0.7500 0.7012  6 Ni 2.86-3.14, 6 Si 2.91-3.03
3 Ho 0.5096 0.2500 0.2988  6 Ni 2.86-3.14, 6 Si 2.91-3.03
4 Ho 0.9904 0.7500 0.7988  6 Ni 2.86-3.14, 6 Si 2.91-3.03
5 Si 0.1911 0.2500 0.5880  4 Ni 2.41-2.59
6 Si 0.3089 0.7500 0.0880  4 Ni 2.41-2.59
7 Si 0.6911 0.2500 0.9120  4 Ni 2.41-2.59
8 Si 0.8089 0.7500 0.4120  4 Ni 2.41-2.59
9 Ni 0.1877 0.7500 0.4175  4 Si 2.41-2.59
10 Ni 0.3123 0.2500 0.9175  4 Si 2.41-2.59
11 Ni 0.6877 0.7500 0.0825  4 Si 2.41-2.59
12 Ni 0.8123 0.2500 0.5825  4 Si 2.41-2.59


(2)
# PmSmTc

A relaxed PmSmTc crystal (GGA-PBE, Alexandria).

Values from the calculation:
The value obtained for the formation energy is 0.06 eV/atom. Its space group is No. 12.

Lattice parameters (Å, degrees): 9.5255 9.5255 4.0220 90.10 90.10 27.84
Last column: nearest neighbours and their distance in Å.
Fractional coordinates of all 6 atoms:
1 Pm 0.1958 0.1958 0.2498  1 Tc 2.98
2 Pm 0.8042 0.8042 0.7502  1 Tc 2.98
3 Sm 0.4168 0.4168 0.2496  6 Tc 3.17-3.18
4 Sm 0.5832 0.5832 0.7504  6 Tc 3.17-3.18
5 Tc 0.0349 0.0349 0.2504  2 Tc 2.39
6 Tc 0.9651 0.9651 0.7496  2 Tc 2.39